An optimized crystal structure of HfMoS4. Source: the Alexandria database, functional PBE-GGA.

Structure (POSCAR):
```
HfMoS4
1.0
6.0962 0.0000 0.0000
0.0000 5.5333 0.0000
0.0000 0.0000 7.0400
Hf Mo S
2 2 8
Direct
0.0000 0.0000 0.0000
0.0000 0.5000 0.5000
0.5000 0.0000 0.7933
0.5000 0.5000 0.2933
0.1878 0.2332 0.2747
0.1878 0.2668 0.7747
0.3392 0.7391 0.0213
0.3392 0.7609 0.5213
0.6608 0.2391 0.5213
0.6608 0.2609 0.0213
0.8122 0.7332 0.7747
0.8122 0.7668 0.2747
```

Results
total energy = -7.115 eV per atom